No. 1
First-principles (PBE-GGA) data for a geometry-optimized Pm2Pr4Bi3N2 structure, as listed in Alexandria.

a b c (Å): 13.7949 13.7949 13.7949
angles (deg): 159.60 159.60 29.01
Fractional coordinates of all 11 atoms:
1 Pm 0.1916 0.1916 0.0000
2 Pm 0.8084 0.8084 0.0000
3 Pr 0.0842 0.5842 0.5000
4 Pr 0.4158 0.9158 0.5000
5 Pr 0.5842 0.0842 0.5000
6 Pr 0.9158 0.4158 0.5000
7 Bi 0.3190 0.3190 0.0000
8 Bi 0.5000 0.5000 0.0000
9 Bi 0.6810 0.6810 0.0000
10 N 0.1066 0.1066 0.0000
11 N 0.8934 0.8934 0.0000

Results
As for the density of states at the Fermi level: 4.3 states/eV/f.u. The calculation puts the formation energy without anion corrections at -0.99 eV/atom. The total energy comes out at -6.1650 eV per atom.

***

No. 2
First-principles (PBE-GGA) data for a geometry-optimized PrMg9Cu3 structure, as listed in Alexandria.

a b c (Å): 7.5182 7.5182 7.3989
angles (deg): 97.21 97.21 137.74
Fractional coordinates of all 13 atoms:
1 Pr 0.0000 0.0000 0.0000
2 Mg 0.0000 0.0000 0.5000
3 Mg 0.0145 0.6568 0.6661
4 Mg 0.2961 0.5181 0.7897
5 Mg 0.3432 0.9855 0.3339
6 Mg 0.4819 0.7039 0.2103
7 Mg 0.5181 0.2961 0.7897
8 Mg 0.6568 0.0145 0.6661
9 Mg 0.7039 0.4819 0.2103
10 Mg 0.9855 0.3432 0.3339
11 Cu 0.0000 0.5000 0.0000
12 Cu 0.5000 0.0000 0.0000
13 Cu 0.5000 0.5000 0.5000

Results
As for the density of states at the Fermi level: 6.8 states/eV/f.u. The total energy comes out at -2.5145 eV per atom.

***

No. 3
First-principles (PBE-GGA) data for a geometry-optimized Ti4Bi2O11 structure, as listed in Alexandria.

a b c (Å): 7.7061 7.7061 10.3161
angles (deg): 131.26 131.26 28.51
Fractional coordinates of all 17 atoms:
1 Ti 0.1192 0.1192 0.0330
2 Ti 0.1602 0.1602 0.7183
3 Ti 0.8398 0.8398 0.2817
4 Ti 0.8808 0.8808 0.9670
5 Bi 0.3891 0.3891 0.6421
6 Bi 0.6109 0.6109 0.3579
7 O 0.0000 0.0000 0.5000
8 O 0.0631 0.0631 0.1667
9 O 0.1225 0.1225 0.8522
10 O 0.2072 0.2072 0.5484
11 O 0.2994 0.2994 0.2580
12 O 0.3534 0.3534 0.9289
13 O 0.6466 0.6466 0.0711
14 O 0.7006 0.7006 0.7420
15 O 0.7928 0.7928 0.4516
16 O 0.8775 0.8775 0.1478
17 O 0.9369 0.9369 0.8333

Results
As for the density of states at the Fermi level: 0.0 states/eV/f.u. The calculation puts the formation energy without anion corrections at -2.51 eV/atom. The total energy comes out at -8.0348 eV per atom.

***

No. 4
First-principles (PBE-GGA) data for a geometry-optimized TiCdTeO5 structure, as listed in Alexandria.

a b c (Å): 5.8781 5.8781 7.8128
angles (deg): 108.31 108.31 99.15
Fractional coordinates of all 16 atoms:
1 Ti 0.0000 0.0000 0.0000
2 Ti 0.0000 0.0000 0.5000
3 Cd 0.3247 0.6753 0.7500
4 Cd 0.6753 0.3247 0.2500
5 Te 0.3021 0.6979 0.2500
6 Te 0.6979 0.3021 0.7500
7 O 0.0127 0.9873 0.2500
8 O 0.1718 0.7320 0.4831
9 O 0.2654 0.3418 0.1413
10 O 0.2680 0.8282 0.0169
11 O 0.3418 0.2654 0.6413
12 O 0.6582 0.7346 0.3587
13 O 0.7320 0.1718 0.9831
14 O 0.7346 0.6582 0.8587
15 O 0.8282 0.2680 0.5169
16 O 0.9873 0.0127 0.7500

Results
The calculation puts the formation energy without anion corrections at -1.68 eV/atom. The total energy comes out at -6.2744 eV per atom.

***

No. 5
First-principles (PBE-GGA) data for a geometry-optimized PmMgS2O8 structure, as listed in Alexandria.

a b c (Å): 5.2155 5.2155 6.7902
angles (deg): 90.00 90.00 120.00
Fractional coordinates of all 12 atoms:
1 Pm 0.0000 0.0000 0.0000
2 Mg 0.0000 0.0000 0.5000
3 S 0.3333 0.6667 0.2314
4 S 0.6667 0.3333 0.7686
5 O 0.1750 0.3500 0.2998
6 O 0.1750 0.8250 0.2998
7 O 0.3333 0.6667 0.0127
8 O 0.3500 0.1750 0.7002
9 O 0.6500 0.8250 0.2998
10 O 0.6667 0.3333 0.9873
11 O 0.8250 0.1750 0.7002
12 O 0.8250 0.6500 0.7002

Results
As for the density of states at the Fermi level: 2.8 states/eV/f.u. The calculation puts the formation energy without anion corrections at -1.85 eV/atom. The total energy comes out at -6.3673 eV per atom.

***

No. 6
First-principles (PBE-GGA) data for a geometry-optimized Tl2SiBr structure, as listed in Alexandria.

a b c (Å): 6.5340 6.5340 6.5340
angles (deg): 149.24 128.91 60.83
Fractional coordinates of all 4 atoms:
1 Tl 0.0000 0.0000 0.0000
2 Tl 0.7249 0.2249 0.5000
3 Si 0.5023 0.5023 0.0000
4 Br 0.2953 0.7953 0.5000

Results
As for the density of states at the Fermi level: 2.6 states/eV/f.u. The calculation puts the formation energy without anion corrections at 0.18 eV/atom. The total energy comes out at -2.7766 eV per atom.

***

No. 7
First-principles (PBE-GGA) data for a geometry-optimized ZrTi2FeRu structure, as listed in Alexandria.

a b c (Å): 4.3515 4.3515 4.6701
angles (deg): 90.00 90.00 90.00
Fractional coordinates of all 5 atoms:
1 Zr 0.0000 0.0000 0.0000
2 Ti 0.0000 0.5000 0.5000
3 Ti 0.5000 0.0000 0.5000
4 Fe 0.5000 0.5000 0.5000
5 Ru 0.5000 0.5000 0.0000

Results
As for the density of states at the Fermi level: 5.6 states/eV/f.u. The total energy comes out at -8.1624 eV per atom.

***

No. 8
First-principles (PBE-GGA) data for a geometry-optimized Nd12BiPt6 structure, as listed in Alexandria.

a b c (Å): 9.0178 9.0178 9.0178
angles (deg): 109.47 109.47 109.47
Fractional coordinates of all 19 atoms:
1 Nd 0.1255 0.3063 0.8192
2 Nd 0.1808 0.4871 0.3063
3 Nd 0.1808 0.8745 0.6937
4 Nd 0.3063 0.1808 0.4871
5 Nd 0.3063 0.8192 0.1255
6 Nd 0.4871 0.3063 0.1808
7 Nd 0.5129 0.6937 0.8192
8 Nd 0.6937 0.1808 0.8745
9 Nd 0.6937 0.8192 0.5129
10 Nd 0.8192 0.1255 0.3063
11 Nd 0.8192 0.5129 0.6937
12 Nd 0.8745 0.6937 0.1808
13 Bi 0.0000 0.0000 0.0000
14 Pt 0.1347 0.5000 0.6347
15 Pt 0.3653 0.8653 0.5000
16 Pt 0.5000 0.3653 0.8653
17 Pt 0.5000 0.6347 0.1347
18 Pt 0.6347 0.1347 0.5000
19 Pt 0.8653 0.5000 0.3653

Results
As for the density of states at the Fermi level: 18.2 states/eV/f.u. The total energy comes out at -5.9177 eV per atom.

***

No. 9
First-principles (PBE-GGA) data for a geometry-optimized NbCr4B2 structure, as listed in Alexandria.

a b c (Å): 7.0495 7.0495 3.0174
angles (deg): 90.00 90.00 149.91
Fractional coordinates of all 7 atoms:
1 Nb 0.0000 0.0000 0.0000
2 Cr 0.1710 0.8290 0.5000
3 Cr 0.3239 0.6761 0.0000
4 Cr 0.6761 0.3239 0.0000
5 Cr 0.8290 0.1710 0.5000
6 B 0.4360 0.5640 0.5000
7 B 0.5640 0.4360 0.5000

Results
As for the density of states at the Fermi level: 4.9 states/eV/f.u. The total energy comes out at -9.1180 eV per atom.

***

No. 10
First-principles (PBE-GGA) data for a geometry-optimized Al2AgSn structure, as listed in Alexandria.

a b c (Å): 5.8919 5.8919 5.8919
angles (deg): 43.00 43.00 43.00
Fractional coordinates of all 4 atoms:
1 Al 0.0000 0.0000 0.0000
2 Al 0.2044 0.2044 0.2044
3 Ag 0.6001 0.6001 0.6001
4 Sn 0.7790 0.7790 0.7790

Results
As for the density of states at the Fermi level: 1.8 states/eV/f.u. The total energy comes out at -3.4558 eV per atom.

***

No. 11
First-principles (PBE-GGA) data for a geometry-optimized Cr4In5 structure, as listed in Alexandria.

a b c (Å): 6.6523 6.6523 6.6523
angles (deg): 96.03 96.03 142.17
Fractional coordinates of all 9 atoms:
1 Cr 0.0000 0.3461 0.3461
2 Cr 0.0000 0.6539 0.6539
3 Cr 0.3461 0.0000 0.3461
4 Cr 0.6539 0.0000 0.6539
5 In 0.0000 0.0000 0.0000
6 In 0.3276 0.3276 0.6552
7 In 0.3276 0.6724 0.0000
8 In 0.6724 0.3276 0.0000
9 In 0.6724 0.6724 0.3448

Results
As for the density of states at the Fermi level: 5.9 states/eV/f.u. The total energy comes out at -5.2883 eV per atom.

***

No. 12
First-principles (PBE-GGA) data for a geometry-optimized DyYSi2 structure, as listed in Alexandria.

a b c (Å): 3.8409 5.6973 7.9151
angles (deg): 90.00 90.00 90.00
Fractional coordinates of all 8 atoms:
1 Dy 0.0000 0.1347 0.0000
2 Dy 0.0000 0.8653 0.5000
3 Y 0.5000 0.3652 0.3598
4 Y 0.5000 0.6348 0.8598
5 Si 0.0000 0.3782 0.6426
6 Si 0.0000 0.6218 0.1426
7 Si 0.5000 0.1210 0.7175
8 Si 0.5000 0.8790 0.2175

Results
As for the density of states at the Fermi level: 2.3 states/eV/f.u. The calculation puts the formation energy without anion corrections at -0.84 eV/atom. The total energy comes out at -6.3174 eV per atom.

***

Please write out number 11 again, unchanged.
First-principles (PBE-GGA) data for a geometry-optimized Cr4In5 structure, as listed in Alexandria.

a b c (Å): 6.6523 6.6523 6.6523
angles (deg): 96.03 96.03 142.17
Fractional coordinates of all 9 atoms:
1 Cr 0.0000 0.3461 0.3461
2 Cr 0.0000 0.6539 0.6539
3 Cr 0.3461 0.0000 0.3461
4 Cr 0.6539 0.0000 0.6539
5 In 0.0000 0.0000 0.0000
6 In 0.3276 0.3276 0.6552
7 In 0.3276 0.6724 0.0000
8 In 0.6724 0.3276 0.0000
9 In 0.6724 0.6724 0.3448

Results
As for the density of states at the Fermi level: 5.9 states/eV/f.u. The total energy comes out at -5.2883 eV per atom.

***

- Number 9 is which compound?
  NbCr4B2